No. 1
# HoPaB12 | Alexandria | PBE | relaxed
data_HoPaB12
_chemical_formula_sum 'Ho1 Pa1 B12'
_cell_length_a 4.077
_cell_length_b 4.077
_cell_length_c 8.171
_cell_angle_alpha 90.00
_cell_angle_beta 90.00
_cell_angle_gamma 90.00
_space_group_name_H-M_alt 'P 4/m m m'
_space_group_IT_number 123
_space_group_name_Hall '-P 4 2'
loop_
_atom_site_label
_atom_site_type_symbol
_atom_site_fract_x
_atom_site_fract_y
_atom_site_fract_z
_atom_site_occupancy
Ho1 Ho 0.000 0.000 0.000 1
Pa1 Pa 0.000 0.000 0.500 1
B1 B 0.198 0.500 0.250 1
B2 B 0.500 0.500 0.099 1
B3 B 0.500 0.500 0.401 1
# Formation enthalpy at 0 K, eV/atom: -0.37
# Electronic total energy, eV/cell: -99.44


No. 2
# CsPaWN4 | Alexandria | PBE | relaxed
data_CsPaWN4
_chemical_formula_sum 'Cs2 Pa2 W2 N8'
_cell_length_a 6.134
_cell_length_b 6.099
_cell_length_c 8.507
_cell_angle_alpha 90.00
_cell_angle_beta 109.48
_cell_angle_gamma 90.00
_space_group_name_H-M_alt 'P 1 21/m 1'
_space_group_IT_number 11
loop_
_space_group_symop_operation_xyz
'x,y,z'
'-x,-y,-z'
'-x,y+1/2,-z'
'x,-y+1/2,z'
loop_
_atom_site_label
_atom_site_type_symbol
_atom_site_fract_x
_atom_site_fract_y
_atom_site_fract_z
_atom_site_occupancy
Cs1 Cs 0.188 0.250 0.430 1
Pa1 Pa 0.294 0.250 0.956 1
W1 W 0.243 0.750 0.143 1
N1 N 0.012 0.750 0.942 1
N2 N 0.035 0.750 0.264 1
N3 N 0.452 0.517 0.148 1
# Formation energy (no corrections), eV/atom: -0.83
# Electronic total energy, eV/cell: -124.82


No. 3
# Sc2GeAs | Alexandria | PBE | relaxed
data_Sc2GeAs
_chemical_formula_sum 'Sc6 Ge3 As3'
_cell_length_a 3.7595
_cell_length_b 3.7595
_cell_length_c 20.4158
_cell_angle_alpha 90.00
_cell_angle_beta 90.00
_cell_angle_gamma 120.00
_space_group_name_H-M_alt 'R -3 m'
_space_group_IT_number 166
_space_group_name_Hall '-R 3 2"'
loop_
_atom_site_label
_atom_site_type_symbol
_atom_site_fract_x
_atom_site_fract_y
_atom_site_fract_z
_atom_site_occupancy
Sc1 Sc 0.0000 0.0000 0.2457 1
Ge1 Ge 0.0000 0.0000 0.0000 1
As1 As 0.0000 0.0000 0.5000 1
# Formation enthalpy at 0 K, eV/atom: -0.99
# Relative energy among the computed polymorphs, kJ/mol of formula units: 41
# Electronic total energy, eV/cell: -77.65


Copy entry 2 word for word.
# CsPaWN4 | Alexandria | PBE | relaxed
data_CsPaWN4
_chemical_formula_sum 'Cs2 Pa2 W2 N8'
_cell_length_a 6.134
_cell_length_b 6.099
_cell_length_c 8.507
_cell_angle_alpha 90.00
_cell_angle_beta 109.48
_cell_angle_gamma 90.00
_space_group_name_H-M_alt 'P 1 21/m 1'
_space_group_IT_number 11
loop_
_space_group_symop_operation_xyz
'x,y,z'
'-x,-y,-z'
'-x,y+1/2,-z'
'x,-y+1/2,z'
loop_
_atom_site_label
_atom_site_type_symbol
_atom_site_fract_x
_atom_site_fract_y
_atom_site_fract_z
_atom_site_occupancy
Cs1 Cs 0.188 0.250 0.430 1
Pa1 Pa 0.294 0.250 0.956 1
W1 W 0.243 0.750 0.143 1
N1 N 0.012 0.750 0.942 1
N2 N 0.035 0.750 0.264 1
N3 N 0.452 0.517 0.148 1
# Formation energy (no corrections), eV/atom: -0.83
# Electronic total energy, eV/cell: -124.82